No. 1
Computed, not measured: a geometry-optimized La2ZnIn structure at the PBE-GGA level of DFT.

Output
- energy relative to the elements (eV per atom) = -0.16

Cell lengths 3.5624, 3.5624, 9.0784 Å; angles 90.00, 90.00, 90.00 degrees
Last column: nearest neighbours and their distance in Å.
Fractional positions:
1 In 0.5000 0.5000 0.7045  4 Zn 2.99
2 La 0.0000 0.0000 0.9660  4 In 3.46, 4 La 3.56
3 La 0.5000 0.5000 0.3032  4 Zn 3.23, 4 La 3.56
4 Zn 0.0000 0.0000 0.5262  4 In 2.99, 4 La 3.23



No. 2
Computed, not measured: a geometry-optimized CaU3As4 structure at the PBE-GGA level of DFT.

Output
- energy relative to the elements (eV per atom) = -0.84

Cell lengths 4.0769, 7.1588, 7.1588 Å; angles 71.10, 90.00, 90.00 degrees
Last column: nearest neighbours and their distance in Å.
Fractional positions:
1 Ca 0.5000 0.5001 0.0000  6 As 2.94-2.96
2 U 0.5000 0.0001 0.5000  6 As 2.87-2.89
3 U 0.9999 0.0001 0.0000  6 As 2.91
4 U 0.9999 0.5001 0.5000  6 As 2.91
5 As 0.0000 0.7580 0.7420  4 U 2.87-2.91, 2 Ca 2.96
6 As 0.5000 0.7524 0.2523  5 U 2.89-2.91, 1 Ca 2.94
7 As 0.0000 0.2422 0.2579  4 U 2.87-2.91, 2 Ca 2.96
8 As 0.4999 0.2478 0.7477  5 U 2.89-2.91, 1 Ca 2.94



Copy entry 2 word for word.
Computed, not measured: a geometry-optimized CaU3As4 structure at the PBE-GGA level of DFT.

Output
- energy relative to the elements (eV per atom) = -0.84

Cell lengths 4.0769, 7.1588, 7.1588 Å; angles 71.10, 90.00, 90.00 degrees
Last column: nearest neighbours and their distance in Å.
Fractional positions:
1 Ca 0.5000 0.5001 0.0000  6 As 2.94-2.96
2 U 0.5000 0.0001 0.5000  6 As 2.87-2.89
3 U 0.9999 0.0001 0.0000  6 As 2.91
4 U 0.9999 0.5001 0.5000  6 As 2.91
5 As 0.0000 0.7580 0.7420  4 U 2.87-2.91, 2 Ca 2.96
6 As 0.5000 0.7524 0.2523  5 U 2.89-2.91, 1 Ca 2.94
7 As 0.0000 0.2422 0.2579  4 U 2.87-2.91, 2 Ca 2.96
8 As 0.4999 0.2478 0.7477  5 U 2.89-2.91, 1 Ca 2.94



Question: What is the energy relative to the elements in the first record?
Answer: -0.16 eV per atom



Question: Among the records above, which one has the highest energy relative to the elements?
Answer: La2ZnIn



Question: energy relative to the elements of number 2 (CaU3As4)?
Answer: -0.84 eV per atom